No. 1
Entry from the Alexandria database: a geometry-optimized Ca2TcSb structure (GGA-PBE).

Uncorrected formation energy: 123 meV per atom
Crystal system: orthorhombic

Cell and atoms, written as POSCAR:
```
Ca2TcSb
1.0
7.240 0.048 0.155
-2.890 4.687 0.034
1.459 0.876 2.850
Sb Ca Tc
1 2 1
Cartesian
-0.716 2.782 1.442
0.000 0.000 0.000
4.349 0.462 1.502
2.175 2.367 0.094
```



No. 2
Entry from the Alexandria database: a geometry-optimized MgFeBr2 structure (GGA-PBE).

Uncorrected formation energy: 47 meV per atom
Crystal system: monoclinic

Cell and atoms, written as POSCAR:
```
MgFeBr2
1.0
-4.565 2.460 0.167
0.400 -4.115 -3.061
-2.637 -4.173 1.324
Br Fe Mg
2 1 1
Cartesian
0.000 0.000 0.000
-3.601 -0.856 0.746
-1.119 -4.144 -0.869
-2.082 -0.828 -1.447
```